Entry from Alexandria: an optimized crystal structure of PmNdIr (PBE).

Polymorph energy (0 for the lowest one)   32.4 meV/atom
Energy of formation   -510 meV per atom

a b c (Å): 3.924 6.794 7.422
angles (deg): 117.24 105.33 90.00
Fractional positions:
1 Ir 0.878 0.378 0.757
2 Ir 0.122 0.622 0.243
3 Pm 0.500 0.740 0.000
4 Pm 0.500 0.260 0.000
5 Nd 0.219 0.219 0.437
6 Nd 0.781 0.781 0.563

***

Entry from Alexandria: an optimized crystal structure of ThMg2OsO8 (PBE).

Formation energy from raw total energies   -2.1188 eV/atom

a b c (Å): 4.756 4.753 6.722
angles (deg): 90.00 90.00 90.01
Site moments in Bohr magnetons follow the coordinates.
Fractional positions:
1 Th 0.000 0.000 0.500  0.00
2 Mg 0.500 0.500 0.754  0.00
3 Mg 0.500 0.500 0.246  0.00
4 Os 0.000 0.000 0.000  0.11
5 O 0.193 0.805 0.205  0.01
6 O 0.722 0.724 0.000  0.00
7 O 0.807 0.195 0.205  0.01
8 O 0.807 0.195 0.795  0.01
9 O 0.278 0.276 0.000  0.00
10 O 0.193 0.805 0.795  0.01
11 O 0.682 0.683 0.500  0.00
12 O 0.318 0.317 0.500  0.00

***

Entry from Alexandria: an optimized crystal structure of Sn2BiF (PBE).

Formation energy from raw total energies   -0.5562 eV/atom
Polymorph energy (0 for the lowest one)   30.0 meV/atom

a b c (Å): 5.224 5.224 5.224
angles (deg): 60.00 60.00 60.00
Fractional positions:
1 F 0.000 0.000 0.000
2 Bi 0.500 0.500 0.500
3 Sn 0.250 0.250 0.250
4 Sn 0.750 0.750 0.750

***

| no. | E (eV/atom) |
| --- | --- |
| 1 | -6.636 |
| 2 | -7.244 |
| 3 | -3.996 |